An optimized crystal structure of Mn2ReW, computed with PBE-GGA.

Cell: 5.2844 8.2316 2.6447 Å, 90.00 106.81 90.00°
With the nearest neighbours (Å) after each atom.
Element x y z (fractional)
1 Mn 0.2500 0.2500 0.0000  2 W 2.59, 2 Re 2.59, 4 Mn 2.64
2 Mn 0.2500 0.7500 0.0000  2 W 2.59, 2 Re 2.59, 4 Mn 2.64
3 Mn 0.7500 0.2500 0.0000  2 W 2.59, 2 Re 2.59, 4 Mn 2.64
4 Mn 0.7500 0.7500 0.0000  2 W 2.59, 2 Re 2.59, 4 Mn 2.64
5 Re 0.0000 0.0000 0.5000  4 Mn 2.59, 2 W 2.64, 2 Re 2.64
6 Re 0.5000 0.5000 0.5000  4 Mn 2.59, 2 W 2.64, 2 Re 2.64
7 W 0.0000 0.5000 0.5000  4 Mn 2.59, 2 Re 2.64, 2 W 2.64
8 W 0.5000 0.0000 0.5000  4 Mn 2.59, 2 Re 2.64, 2 W 2.64

## Properties
Symmetry ... No. 12

An optimized crystal structure of MnRe2W, computed with PBE-GGA.

Cell: 3.8783 3.8783 7.7742 Å, 90.00 90.00 90.00°
With the nearest neighbours (Å) after each atom.
Element x y z (fractional)
1 Mn 0.0000 0.0000 0.0000  8 Re 2.74-2.75, 4 W 2.75
2 Mn 0.5000 0.5000 0.5000  8 Re 2.74-2.75, 4 W 2.75
3 Re 0.0000 0.0000 0.5000  4 Mn 2.74, 4 W 2.75, 4 Re 2.75
4 Re 0.0000 0.5000 0.7500  4 W 2.74, 4 Mn 2.75, 4 Re 2.75
5 Re 0.5000 0.0000 0.2500  4 W 2.74, 4 Mn 2.75, 4 Re 2.75
6 Re 0.5000 0.5000 0.0000  4 Mn 2.74, 4 W 2.75, 4 Re 2.75
7 W 0.0000 0.5000 0.2500  8 Re 2.74-2.75, 4 Mn 2.75
8 W 0.5000 0.0000 0.7500  8 Re 2.74-2.75, 4 Mn 2.75

## Properties
Symmetry ... No. 119

An optimized crystal structure of MnRe3W, computed with PBE-GGA.

Cell: 4.3752 4.3752 4.3752 Å, 90.00 90.00 90.00°
With the nearest neighbours (Å) after each atom.
Element x y z (fractional)
1 Mn 0.0000 0.0000 0.0000  6 Re 2.19
2 Re 0.0000 0.0000 0.5000  2 Mn 2.19
3 Re 0.0000 0.5000 0.0000  2 Mn 2.19
4 Re 0.5000 0.0000 0.0000  2 Mn 2.19
5 W 0.5000 0.5000 0.5000  12 Re 3.09

## Properties
Energy relative to the lowest polymorph listed for this composition ... 0.0 meV/atom
Symmetry ... No. 221

An optimized crystal structure of MnRe2W, computed with PBE-GGA.

Cell: 2.7350 3.8252 5.5555 Å, 90.00 90.00 90.00°
With the nearest neighbours (Å) after each atom.
Element x y z (fractional)
1 Mn 0.0000 0.0000 0.0000  8 Re 2.68, 2 Mn 2.74, 2 W 2.78
2 Re 0.5000 0.5000 0.2325  3 Re 2.58-2.74, 4 Mn 2.68, 4 W 2.78
3 Re 0.5000 0.5000 0.7675  3 Re 2.58-2.74, 4 Mn 2.68, 4 W 2.78
4 W 0.0000 0.0000 0.5000  2 W 2.74, 2 Mn 2.78, 8 Re 2.78

## Properties
Symmetry ... No. 47

Number 1: magnetization 3.51 μB/f.u., uncorrected energy -43.35 eV/f.u., ΔH_f (0 K) 0.10 eV per atom. Number 2: magnetization 1.74 μB/f.u., uncorrected energy -46.44 eV/f.u., ΔH_f (0 K) 0.14 eV per atom. Number 3: magnetization 0.00 μB/f.u., uncorrected energy -51.75 eV/f.u., ΔH_f (0 K) 1.54 eV per atom. Number 4: magnetization 0.73 μB/f.u., uncorrected energy -46.29 eV/f.u., ΔH_f (0 K) 0.18 eV per atom.